VASP calculation (PBE) on a geometry-optimized Li2Ag7SnSb2 structure.

## Properties
Magnetic moment = 0.00 μB per cell
DOS at the Fermi energy = 0.37 states/eV/atom
Final energy = -37.01 eV/cell

Lattice parameters (Å, degrees): 4.226 4.226 14.508 73.44 73.44 90.84
Element x y z (fractional)
Li (0.814, 0.814, 0.685)
Li (0.186, 0.186, 0.315)
Ag (0.500, 0.500, 0.000)
Ag (0.243, 0.243, 0.500)
Ag (0.757, 0.757, 0.500)
Ag (0.837, 0.336, 0.164)
Ag (0.336, 0.837, 0.164)
Ag (0.664, 0.163, 0.836)
Ag (0.163, 0.664, 0.836)
Sn (0.000, 0.000, 0.000)
Sb (0.685, 0.685, 0.316)
Sb (0.315, 0.315, 0.684)